1.
# Ac4TeS2N2, optimized geometry, DFT GGA-PBE
data_Ac4TeS2N2
_chemical_formula_sum 'Ac4 Te1 S2 N2'
_cell_length_a 8.596
_cell_length_b 8.596
_cell_length_c 9.096
_cell_angle_alpha 116.90
_cell_angle_beta 116.90
_cell_angle_gamma 27.93
_symmetry_space_group_name_H-M 'P 1'
_symmetry_Int_Tables_number 1
loop_
_symmetry_equiv_pos_as_xyz
'x,y,z'
loop_
_atom_site_label
_atom_site_type_symbol
_atom_site_fract_x
_atom_site_fract_y
_atom_site_fract_z
_atom_site_occupancy
Ac1 Ac 0.018 0.018 0.305 1
Ac2 Ac 0.264 0.264 0.685 1
Ac3 Ac 0.736 0.736 0.315 1
Ac4 Ac 0.982 0.982 0.695 1
Te1 Te 0.500 0.500 0.000 1
S1 S 0.390 0.390 0.345 1
S2 S 0.610 0.610 0.655 1
N1 N 0.173 0.173 0.382 1
N2 N 0.827 0.827 0.618 1
# Magnetization ... 0.00 μB per cell
# DFT total energy ... -6.57 eV/atom

---

2.
# Ac2US2N2, optimized geometry, DFT GGA-PBE
data_Ac2US2N2
_chemical_formula_sum 'Ac2 U1 S2 N2'
_cell_length_a 8.425
_cell_length_b 8.425
_cell_length_c 8.425
_cell_angle_alpha 149.78
_cell_angle_beta 149.78
_cell_angle_gamma 43.27
_symmetry_space_group_name_H-M 'P 1'
_symmetry_Int_Tables_number 1
loop_
_symmetry_equiv_pos_as_xyz
'x,y,z'
loop_
_atom_site_label
_atom_site_type_symbol
_atom_site_fract_x
_atom_site_fract_y
_atom_site_fract_z
_atom_site_occupancy
Ac1 Ac 0.131 0.131 0.000 1
Ac2 Ac 0.869 0.869 0.000 1
U1 U 0.500 0.500 0.000 1
S1 S 0.324 0.324 0.000 1
S2 S 0.676 0.676 0.000 1
N1 N 0.000 0.500 0.500 1
N2 N 0.500 0.000 0.500 1
# Magnetization ... 1.74 μB per cell
# Fermi-level density of states ... 3.84 states/eV/f.u.
# DFT total energy ... -8.04 eV/atom

---

It is found that the ΔE_f (raw) values, taken in the order of the records, are -14.64 -11.88 eV/f.u..